(1)
Computed, not measured: a relaxed MgMnSe2 crystal at the PBE-GGA level of DFT.

crystal system: tetragonal
energy relative to the elements, uncorrected: -311 meV per atom

Lattice parameters (Å, degrees): 3.374 3.374 6.729 90.00 90.00 90.00
Positions (direct):
Se 0.000 0.000 0.993
Se 0.000 0.000 0.507
Mg 0.500 0.500 0.250
Mn 0.500 0.500 0.750

(2)
Computed, not measured: a relaxed Hf5Ti2Sb4 crystal at the PBE-GGA level of DFT.

crystal system: monoclinic
energy relative to the elements, uncorrected: -220 meV per atom

Lattice parameters (Å, degrees): 3.794 7.016 10.813 118.22 100.11 90.00
Positions (direct):
Hf 0.183 0.891 0.365
Hf 0.817 0.109 0.635
Hf 0.875 0.710 0.749
Hf 0.125 0.290 0.251
Hf 0.500 0.000 0.000
Sb 0.033 0.756 0.066
Sb 0.278 0.352 0.556
Sb 0.967 0.244 0.934
Sb 0.722 0.648 0.444
Ti 0.575 0.530 0.150
Ti 0.425 0.470 0.850

(3)
Computed, not measured: a relaxed ScTaOs3 crystal at the PBE-GGA level of DFT.

energy of formation from the pure elements: 1.44 eV/atom
crystal system: cubic

Lattice parameters (Å, degrees): 4.737 4.737 4.737 90.00 90.00 90.00
Positions (direct):
Os 0.000 0.500 0.000
Os 0.000 0.000 0.500
Os 0.500 0.000 0.000
Ta 0.000 0.000 0.000
Sc 0.500 0.500 0.500

(4)
Computed, not measured: a relaxed MnIn2Si crystal at the PBE-GGA level of DFT.

crystal system: tetragonal
energy relative to the elements, uncorrected: 373 meV per atom

Lattice parameters (Å, degrees): 5.372 5.372 5.372 134.39 134.38 66.49
Positions (direct):
In 0.000 0.000 0.000
In 0.500 0.500 0.000
Mn 0.750 0.250 0.500
Si 0.250 0.750 0.500

(5)
Computed, not measured: a relaxed AlGe2TePd crystal at the PBE-GGA level of DFT.

crystal system: tetragonal
energy relative to the elements, uncorrected: 842 meV per atom

Lattice parameters (Å, degrees): 5.508 4.916 5.508 90.00 90.00 90.00
Positions (direct):
Al 0.500 0.500 0.500
Ge 0.500 0.000 0.000
Ge 0.000 0.000 0.500
Pd 0.000 0.500 0.000
Te 0.000 0.000 0.000

(6)
Computed, not measured: a relaxed BeS3N crystal at the PBE-GGA level of DFT.

crystal system: cubic
energy relative to the elements, uncorrected: 1467 meV per atom

Lattice parameters (Å, degrees): 4.272 4.272 4.272 90.00 90.00 90.00
Positions (direct):
S 0.500 0.000 0.000
S 0.000 0.000 0.500
S 0.000 0.500 0.000
N 0.500 0.500 0.500
Be 0.000 0.000 0.000

(7)
Computed, not measured: a relaxed Pm5Sn2Te crystal at the PBE-GGA level of DFT.

crystal system: orthorhombic
energy relative to the elements, uncorrected: -587 meV per atom

Lattice parameters (Å, degrees): 5.865 5.632 17.849 90.00 90.00 121.38
Positions (direct):
Pm 0.589 0.178 0.915
Pm 0.411 0.822 0.415
Pm 0.681 0.363 0.250
Pm 0.411 0.822 0.085
Pm 0.319 0.637 0.750
Pm 0.589 0.178 0.585
Pm 0.089 0.178 0.408
Pm 0.089 0.178 0.092
Pm 0.911 0.822 0.908
Pm 0.911 0.822 0.592
Sn 0.246 0.493 0.575
Sn 0.754 0.507 0.425
Sn 0.754 0.507 0.075
Sn 0.246 0.493 0.925
Te 0.304 0.607 0.250
Te 0.696 0.393 0.750

(8)
Computed, not measured: a relaxed PuZrIrPt crystal at the PBE-GGA level of DFT.

energy of formation from the pure elements: -0.63 eV/atom
crystal system: cubic

Lattice parameters (Å, degrees): 4.811 4.811 4.811 60.00 60.00 60.00
Positions (direct):
Pu 0.000 0.000 0.000
Ir 0.750 0.750 0.750
Zr 0.500 0.500 0.500
Pt 0.250 0.250 0.250

(9)
Computed, not measured: a relaxed Sc2PbS4 crystal at the PBE-GGA level of DFT.

crystal system: orthorhombic
energy relative to the elements, uncorrected: -1502 meV per atom

Lattice parameters (Å, degrees): 3.795 6.521 12.998 90.00 90.00 106.92
Positions (direct):
Pb 0.401 0.801 0.250
Pb 0.599 0.199 0.750
S 0.234 0.467 0.610
S 0.934 0.869 0.750
S 0.066 0.131 0.250
S 0.500 0.000 0.500
S 0.234 0.467 0.890
S 0.766 0.533 0.110
S 0.766 0.533 0.390
S 0.500 0.000 0.000
Sc 0.863 0.726 0.936
Sc 0.863 0.726 0.564
Sc 0.137 0.274 0.064
Sc 0.137 0.274 0.436

(10)
Computed, not measured: a relaxed Ti6SbPd12 crystal at the PBE-GGA level of DFT.

crystal system: trigonal
energy relative to the elements, uncorrected: -513 meV per atom

Lattice parameters (Å, degrees): 7.454 7.454 7.454 110.91 110.91 110.91
Positions (direct):
Pd 0.263 0.885 0.833
Pd 0.795 0.667 0.520
Pd 0.667 0.520 0.795
Pd 0.205 0.333 0.480
Pd 0.885 0.833 0.263
Pd 0.737 0.115 0.167
Pd 0.520 0.795 0.667
Pd 0.115 0.167 0.737
Pd 0.333 0.480 0.205
Pd 0.833 0.263 0.885
Pd 0.167 0.737 0.115
Pd 0.480 0.205 0.333
Ti 0.921 0.409 0.630
Ti 0.079 0.591 0.370
Ti 0.630 0.921 0.409
Ti 0.591 0.370 0.079
Ti 0.409 0.630 0.921
Ti 0.370 0.079 0.591
Sb 0.000 0.000 0.000

(11)
Computed, not measured: a relaxed HfTeSe2Br crystal at the PBE-GGA level of DFT.

crystal system: tetragonal
energy relative to the elements, uncorrected: 735 meV per atom

Lattice parameters (Å, degrees): 5.395 5.395 5.302 90.00 90.00 90.00
Positions (direct):
Br 0.000 0.000 0.500
Hf 0.500 0.500 0.500
Se 0.500 0.000 0.000
Se 0.000 0.500 0.000
Te 0.000 0.000 0.000

(12)
Computed, not measured: a relaxed EuHoAgRh crystal at the PBE-GGA level of DFT.

energy of formation from the pure elements: -0.43 eV/atom
crystal system: cubic

Lattice parameters (Å, degrees): 5.045 5.045 5.045 60.00 60.00 60.00
Positions (direct):
Ho 0.500 0.500 0.500
Ag 0.250 0.250 0.250
Eu 0.000 0.000 0.000
Rh 0.750 0.750 0.750

Values for total magnetic moment, μB/cell, ordered as above
4.305 0.000 0.000 3.688 0.000 1.298 0.000 5.377 0.000 1.046 1.652 7.036